Crystalline Cr3H3Rh at its relaxed geometry, computed with PBE.

Lattice parameters (Å, degrees): 7.2073 7.2073 7.2073 36.60 36.60 36.60
Last column: nearest neighbours and their distance in Å.
Sites, in units of the cell vectors:
Cr 0.1245 0.4411 0.7808  3 H 1.83-1.90
Cr 0.2192 0.8755 0.5589  3 H 1.83-1.90
Cr 0.4411 0.7808 0.1245  3 H 1.83-1.90
Cr 0.5589 0.2192 0.8755  3 H 1.83-1.90
Cr 0.7808 0.1245 0.4411  3 H 1.83-1.90
Cr 0.8755 0.5589 0.2192  3 H 1.83-1.90
H 0.0569 0.7364 0.3908  3 Cr 1.83-1.90, 2 Rh 1.94-1.98
H 0.2636 0.6092 0.9431  3 Cr 1.83-1.90, 2 Rh 1.94-1.98
H 0.3908 0.0569 0.7364  3 Cr 1.83-1.90, 2 Rh 1.94-1.98
H 0.6092 0.9431 0.2636  3 Cr 1.83-1.90, 2 Rh 1.94-1.98
H 0.7364 0.3908 0.0569  3 Cr 1.83-1.90, 2 Rh 1.94-1.98
H 0.9431 0.2636 0.6092  3 Cr 1.83-1.90, 2 Rh 1.94-1.98
Rh 0.3327 0.3327 0.3327  6 H 1.94-1.98
Rh 0.6673 0.6673 0.6673  6 H 1.94-1.98

## Properties
- space-group type = No. 148

Crystalline NaAlAu at its relaxed geometry, computed with PBE.

Lattice parameters (Å, degrees): 4.4169 4.4169 6.9525 90.00 90.00 90.00
Last column: nearest neighbours and their distance in Å.
Sites, in units of the cell vectors:
Na 0.2500 0.2500 0.1373  5 Au 3.11-3.34, 4 Al 3.35
Na 0.7500 0.7500 0.8627  5 Au 3.11-3.34, 4 Al 3.35
Al 0.2500 0.7500 0.5000  4 Au 2.58
Al 0.7500 0.2500 0.5000  4 Au 2.58
Au 0.2500 0.2500 0.6907  4 Al 2.58
Au 0.7500 0.7500 0.3093  4 Al 2.58

## Properties
- space-group type = No. 129
- energy of formation from the pure elements (eV/atom) = -0.340

Crystalline Ac4PbSe3 at its relaxed geometry, computed with PBE.

Lattice parameters (Å, degrees): 7.9411 7.9411 7.9411 131.79 131.79 70.56
Last column: nearest neighbours and their distance in Å.
Sites, in units of the cell vectors:
Ac 0.0000 0.5000 0.5000  4 Se 3.24, 2 Pb 3.24
Ac 0.2446 0.2446 0.0000  5 Se 3.17-3.24, 1 Pb 3.31
Ac 0.5000 0.0000 0.5000  4 Se 3.24, 2 Pb 3.24
Ac 0.7554 0.7554 0.0000  5 Se 3.17-3.24, 1 Pb 3.31
Pb 0.5000 0.5000 0.0000  6 Ac 3.24-3.31
Se 0.0000 0.0000 0.0000  6 Ac 3.17-3.24
Se 0.2500 0.7500 0.5000  6 Ac 3.24
Se 0.7500 0.2500 0.5000  6 Ac 3.24

## Properties
- space-group type = No. 139
- formation energy (no corrections) (meV per atom) = -1554

Crystalline Ca2TiB2Rh5 at its relaxed geometry, computed with PBE.

Lattice parameters (Å, degrees): 9.7756 9.7756 3.0097 90.00 90.00 90.00
Last column: nearest neighbours and their distance in Å.
Sites, in units of the cell vectors:
Ca 0.1765 0.3235 0.0000  3 B 2.79-2.96, 10 Rh 2.87-3.01, 2 Ca 3.01
Ca 0.3235 0.8235 0.0000  3 B 2.79-2.96, 10 Rh 2.87-3.01, 2 Ca 3.01
Ca 0.6765 0.1765 0.0000  3 B 2.79-2.96, 10 Rh 2.87-3.01, 2 Ca 3.01
Ca 0.8235 0.6765 0.0000  3 B 2.79-2.96, 10 Rh 2.87-3.01, 2 Ca 3.01
Ti 0.0000 0.0000 0.0000  8 Rh 2.71, 2 Ti 3.01
Ti 0.5000 0.5000 0.0000  8 Rh 2.71, 2 Ti 3.01
B 0.1218 0.6218 0.0000  6 Rh 2.22-2.26
B 0.3782 0.1218 0.0000  6 Rh 2.22-2.26
B 0.6218 0.8782 0.0000  6 Rh 2.22-2.26
B 0.8782 0.3782 0.0000  6 Rh 2.22-2.26
Rh 0.0000 0.5000 0.5000  4 B 2.26
Rh 0.0692 0.7806 0.5000  2 B 2.22
Rh 0.2194 0.0692 0.5000  2 B 2.22
Rh 0.2806 0.5692 0.5000  2 B 2.22
Rh 0.4308 0.2806 0.5000  2 B 2.22
Rh 0.5000 0.0000 0.5000  4 B 2.26
Rh 0.5692 0.7194 0.5000  2 B 2.22
Rh 0.7194 0.4308 0.5000  2 B 2.22
Rh 0.7806 0.9308 0.5000  2 B 2.22
Rh 0.9308 0.2194 0.5000  2 B 2.22

## Properties
- space-group type = No. 127
- energy of formation from the pure elements (eV/atom) = -0.606

Crystalline Ca5Pt3 at its relaxed geometry, computed with PBE.

Lattice parameters (Å, degrees): 8.6576 8.6576 8.6576 96.82 96.82 139.70
Last column: nearest neighbours and their distance in Å.
Sites, in units of the cell vectors:
Ca 0.0828 0.7888 0.8716  4 Pt 3.00-3.14, 1 Ca 3.35
Ca 0.2112 0.0828 0.2941  4 Pt 3.00-3.14, 1 Ca 3.35
Ca 0.2500 0.7500 0.5000  4 Pt 2.94, 2 Ca 2.98
Ca 0.2888 0.5828 0.8716  4 Pt 3.00-3.14, 1 Ca 3.35
Ca 0.4172 0.2888 0.7059  4 Pt 3.00-3.14, 1 Ca 3.35
Ca 0.5828 0.7112 0.2941  4 Pt 3.00-3.14, 1 Ca 3.35
Ca 0.7112 0.4172 0.1284  4 Pt 3.00-3.14, 1 Ca 3.35
Ca 0.7500 0.2500 0.5000  4 Pt 2.94, 2 Ca 2.98
Ca 0.7888 0.9172 0.7059  4 Pt 3.00-3.14, 1 Ca 3.35
Ca 0.9172 0.2112 0.1284  4 Pt 3.00-3.14, 1 Ca 3.35
Pt 0.1559 0.3441 0.5000  6 Ca 2.94-3.14
Pt 0.2500 0.2500 0.0000  2 Pt 2.98, 8 Ca 3.00
Pt 0.3441 0.8441 0.1882  6 Ca 2.94-3.14
Pt 0.6559 0.1559 0.8118  6 Ca 2.94-3.14
Pt 0.7500 0.7500 0.0000  2 Pt 2.98, 8 Ca 3.00
Pt 0.8441 0.6559 0.5000  6 Ca 2.94-3.14

## Properties
- space-group type = No. 140
- energy of formation from the pure elements (eV/atom) = -0.810

Crystalline Tl2Ge2Bi at its relaxed geometry, computed with PBE.

Lattice parameters (Å, degrees): 10.4134 10.4134 10.4134 159.33 159.33 29.40
Last column: nearest neighbours and their distance in Å.
Sites, in units of the cell vectors:
Tl 0.1159 0.1159 0.0000  4 Ge 3.28, 4 Bi 3.53
Tl 0.8841 0.8841 0.0000  4 Ge 3.28, 4 Bi 3.53
Ge 0.2500 0.7500 0.5000  4 Ge 2.64
Ge 0.7500 0.2500 0.5000  4 Ge 2.64
Bi 0.5000 0.5000 0.0000  8 Tl 3.53, 4 Bi 3.74

## Properties
- space-group type = No. 139
- energy of formation from the pure elements (eV/atom) = 0.192

Per-record DFT total energy, eV/cell: -90.807; -18.719; -43.025; -136.133; -69.224; -16.889